one.
An optimized crystal structure of BaNiMo2, computed with PBE.

Cell lengths 7.933, 3.933, 6.522 Å; angles 90.00, 108.03, 90.00 degrees
Element x y z (fractional)
Ba 0.000 0.000 0.000
Ba 0.500 0.500 0.000
Ni 0.000 0.500 0.500
Ni 0.500 0.000 0.500
Mo 0.202 0.000 0.590
Mo 0.298 0.500 0.410
Mo 0.702 0.500 0.590
Mo 0.798 0.000 0.410

Calculated values
**Calculated density**: 6658 kg/m3
**SG**: C2/m (12)
**Magnetic moment**: 0.00 μB per cell

two.
An optimized crystal structure of BaNiMo2, computed with PBE.

Cell lengths 6.589, 6.589, 6.589 Å; angles 90.00, 90.00, 90.00 degrees
Element x y z (fractional)
Ba 0.000 0.000 0.000
Ba 0.000 0.500 0.500
Ba 0.500 0.000 0.500
Ba 0.500 0.500 0.000
Ni 0.000 0.000 0.500
Ni 0.000 0.500 0.000
Ni 0.500 0.000 0.000
Ni 0.500 0.500 0.500
Mo 0.250 0.250 0.250
Mo 0.250 0.250 0.750
Mo 0.250 0.750 0.250
Mo 0.250 0.750 0.750
Mo 0.750 0.250 0.250
Mo 0.750 0.250 0.750
Mo 0.750 0.750 0.250
Mo 0.750 0.750 0.750

Calculated values
**Calculated density**: 9006 kg/m3
**SG**: Fm-3m (225)
**Magnetic moment**: 0.00 μB per cell

Least stable of them? two.

one.
An optimized crystal structure of BaNiMo2, computed with PBE.

Cell lengths 2.933, 2.933, 9.007 Å; angles 90.00, 90.00, 90.00 degrees
Element x y z (fractional)
Ba 0.000 0.000 0.000
Ni 0.000 0.000 0.500
Mo 0.500 0.500 0.324
Mo 0.500 0.500 0.676

Calculated values
**Calculated density**: 8314 kg/m3
**SG**: P4/mmm (123)
**Magnetic moment**: 0.00 μB per cell

two.
An optimized crystal structure of BaNiMo2, computed with PBE.

Cell lengths 3.841, 3.841, 11.114 Å; angles 90.00, 90.00, 90.00 degrees
Element x y z (fractional)
Ba 0.000 0.000 0.000
Ba 0.500 0.500 0.500
Ni 0.000 0.000 0.500
Ni 0.500 0.500 0.000
Mo 0.000 0.500 0.250
Mo 0.000 0.500 0.750
Mo 0.500 0.000 0.250
Mo 0.500 0.000 0.750

Calculated values
**Calculated density**: 7855 kg/m3
**SG**: I4/mmm (139)
**Magnetic moment**: 1.12 μB per cell

Least stable of them? two.

one.
An optimized crystal structure of BaNiMo2, computed with PBE.

Cell lengths 5.365, 10.720, 2.922 Å; angles 90.00, 112.29, 90.00 degrees
Element x y z (fractional)
Ba 0.000 0.000 0.000
Ba 0.500 0.500 0.000
Ni 0.000 0.500 0.000
Ni 0.500 0.000 0.000
Mo 0.250 0.250 0.500
Mo 0.250 0.750 0.500
Mo 0.750 0.250 0.500
Mo 0.750 0.750 0.500

Calculated values
**Calculated density**: 8284 kg/m3
**SG**: C2/m (12)
**Magnetic moment**: 0.00 μB per cell

two.
An optimized crystal structure of BaNiMo2, computed with PBE.

Cell lengths 3.255, 3.252, 7.845 Å; angles 90.00, 94.41, 90.00 degrees
Element x y z (fractional)
Ba 0.000 0.000 0.000
Ni 0.532 0.500 0.307
Mo 0.072 0.000 0.477
Mo 0.500 0.500 0.650

Calculated values
**Calculated density**: 7779 kg/m3
**SG**: Pm (6)
**Magnetic moment**: 0.00 μB per cell

Least stable of them? one.

one.
An optimized crystal structure of BaNiMo2, computed with PBE.

Cell lengths 3.339, 4.504, 6.484 Å; angles 90.00, 103.41, 90.00 degrees
Element x y z (fractional)
Ba 0.000 0.000 0.000
Ni 0.500 0.000 0.500
Mo 0.298 0.500 0.633
Mo 0.702 0.500 0.367

Calculated values
**Calculated density**: 6790 kg/m3
**SG**: P2/m (10)
**Magnetic moment**: 0.00 μB per cell

two.
An optimized crystal structure of BaNiMo2, computed with PBE.

Cell lengths 2.951, 2.951, 30.761 Å; angles 90.00, 90.00, 120.00 degrees
Element x y z (fractional)
Ba 0.000 0.000 0.000
Ba 0.333 0.667 0.667
Ba 0.667 0.333 0.333
Ni 0.000 0.000 0.500
Ni 0.333 0.667 0.167
Ni 0.667 0.333 0.833
Mo 0.000 0.000 0.232
Mo 0.000 0.000 0.768
Mo 0.333 0.667 0.435
Mo 0.333 0.667 0.899
Mo 0.667 0.333 0.101
Mo 0.667 0.333 0.565

Calculated values
**Calculated density**: 8332 kg/m3
**SG**: R-3m (166)
**Magnetic moment**: 0.00 μB per cell

three.
An optimized crystal structure of BaNiMo2, computed with PBE.

Cell lengths 4.832, 4.832, 17.732 Å; angles 90.00, 90.00, 90.00 degrees
Element x y z (fractional)
Ba 0.000 0.250 0.375
Ba 0.000 0.750 0.625
Ba 0.500 0.250 0.125
Ba 0.500 0.750 0.875
Ni 0.000 0.250 0.875
Ni 0.000 0.750 0.125
Ni 0.500 0.250 0.625
Ni 0.500 0.750 0.375
Mo 0.000 0.000 0.000
Mo 0.000 0.500 0.000
Mo 0.250 0.250 0.750
Mo 0.250 0.750 0.250
Mo 0.500 0.000 0.500
Mo 0.500 0.500 0.500
Mo 0.750 0.250 0.750
Mo 0.750 0.750 0.250

Calculated values
**Calculated density**: 6222 kg/m3
**SG**: I4_1/amd (141)
**Magnetic moment**: 0.00 μB per cell

four.
An optimized crystal structure of BaNiMo2, computed with PBE.

Cell lengths 3.112, 4.624, 5.412 Å; angles 90.00, 90.00, 90.00 degrees
Element x y z (fractional)
Ba 0.000 0.000 0.000
Ni 0.500 0.500 0.000
Mo 0.000 0.500 0.500
Mo 0.500 0.000 0.500

Calculated values
**Calculated density**: 8272 kg/m3
**SG**: Pmmm (47)
**Magnetic moment**: 0.00 μB per cell

Least stable of them? two.

one.
An optimized crystal structure of BaNiMo2, computed with PBE.

Cell lengths 4.692, 4.692, 3.307 Å; angles 90.00, 90.00, 90.00 degrees
Element x y z (fractional)
Ba 0.000 0.000 0.000
Ni 0.500 0.500 0.000
Mo 0.000 0.500 0.500
Mo 0.500 0.000 0.500

Calculated values
**Calculated density**: 8850 kg/m3
**SG**: P4/mmm (123)
**Magnetic moment**: 0.00 μB per cell

two.
An optimized crystal structure of BaNiMo2, computed with PBE.

Cell lengths 6.722, 6.722, 6.722 Å; angles 90.00, 90.00, 90.00 degrees
Element x y z (fractional)
Ba 0.000 0.000 0.000
Ba 0.000 0.500 0.500
Ba 0.500 0.000 0.500
Ba 0.500 0.500 0.000
Ni 0.250 0.250 0.750
Ni 0.250 0.750 0.250
Ni 0.750 0.250 0.250
Ni 0.750 0.750 0.750
Mo 0.000 0.000 0.500
Mo 0.000 0.500 0.000
Mo 0.250 0.250 0.250
Mo 0.250 0.750 0.750
Mo 0.500 0.000 0.000
Mo 0.500 0.500 0.500
Mo 0.750 0.250 0.750
Mo 0.750 0.750 0.250

Calculated values
**Calculated density**: 8481 kg/m3
**SG**: F-43m (216)
**Magnetic moment**: 2.15 μB per cell

Least stable of them? one.

one.
An optimized crystal structure of BaNiMo, computed with PBE.

Cell lengths 6.814, 6.814, 6.814 Å; angles 90.00, 90.00, 90.00 degrees
Element x y z (fractional)
Ba 0.000 0.000 0.000
Ba 0.000 0.500 0.500
Ba 0.500 0.000 0.500
Ba 0.500 0.500 0.000
Ni 0.250 0.250 0.250
Ni 0.250 0.750 0.750
Ni 0.750 0.250 0.750
Ni 0.750 0.750 0.250
Mo 0.250 0.250 0.750
Mo 0.250 0.750 0.250
Mo 0.750 0.250 0.250
Mo 0.750 0.750 0.750

Calculated values
**Calculated density**: 6130 kg/m3
**SG**: F-43m (216)
**Magnetic moment**: 14.78 μB per cell

two.
An optimized crystal structure of BaNiMo, computed with PBE.

Cell lengths 6.810, 6.810, 6.810 Å; angles 90.00, 90.00, 90.00 degrees
Element x y z (fractional)
Ba 0.000 0.000 0.000
Ba 0.000 0.500 0.500
Ba 0.500 0.000 0.500
Ba 0.500 0.500 0.000
Ni 0.250 0.250 0.250
Ni 0.250 0.750 0.750
Ni 0.750 0.250 0.750
Ni 0.750 0.750 0.250
Mo 0.000 0.000 0.500
Mo 0.000 0.500 0.000
Mo 0.500 0.000 0.000
Mo 0.500 0.500 0.500

Calculated values
**Calculated density**: 6140 kg/m3
**SG**: F-43m (216)
**Magnetic moment**: 16.00 μB per cell

three.
An optimized crystal structure of BaNiMo, computed with PBE.

Cell lengths 4.001, 4.173, 10.075 Å; angles 91.85, 90.09, 90.04 degrees
Element x y z (fractional)
Ba 0.248 0.271 0.200
Ba 0.752 0.729 0.800
Ni 0.251 0.197 0.638
Ni 0.749 0.803 0.362
Mo 0.250 0.713 0.500
Mo 0.750 0.287 0.500

Calculated values
**Calculated density**: 5767 kg/m3
**SG**: P-1 (2)
**Magnetic moment**: 0.00 μB per cell

Least stable of them? one.